The following is a DFT calculation (PBE) of TlAgAu2Br8 after structural relaxation.

The structure in extended XYZ format:
```
12
Lattice="-4.4368 4.4368 4.8896 4.4368 -4.4368 4.8896 4.4368 4.4368 -4.8896" Properties=species:S:1:pos:R:3 pbc="T T T"
Tl 0.0000 0.0000 0.0000
Ag 0.0000 4.4368 2.4448
Au 4.4368 0.0000 2.4448
Au 0.0000 0.0000 4.8896
Br 2.7557 0.0000 0.4867
Br 6.1178 0.0000 0.4867
Br 4.4368 2.6973 -1.9449
Br 4.4368 -1.6811 4.4029
Br 0.0000 1.7395 2.9448
Br 4.4368 1.6811 4.4029
Br 2.6973 4.4368 1.9449
Br 1.7395 0.0000 6.8345
```

Properties
For the total magnetization, the calculation gives 0.00 μB/f.u. For the density of states at the Fermi level, the calculation gives 9.93 states/eV/f.u. The raw total energy comes out at -2.2086 eV/atom.